A plane-wave DFT calculation with GGA-PBE was carried out for crystalline CsSnAuSe3 at its relaxed geometry. Values from VASP.

Values from the calculation:
Calculated volume = 36.894 A^3/atom
Symmetry = C2/m
Formation energy without anion corrections = -59.65 kJ per mole of atoms

Cell and atoms, written as Quantum ESPRESSO input:
```
&SYSTEM
  ibrav = 0, nat = 12, ntyp = 4
/
ATOMIC_SPECIES
Cs 132.91 Cs.upf
Sn 118.71 Sn.upf
Au 196.97 Au.upf
Se 78.96 Se.upf
CELL_PARAMETERS angstrom
-4.5087 6.0128 3.6089
-8.1126 1.0990 -1.5761
-4.3759 -3.2165 6.0899
ATOMIC_POSITIONS angstrom
Cs -11.5465 2.2737 5.8708
Cs -5.4506 1.6216 2.2518
Sn -15.5270 3.7898 7.2007
Sn -1.4701 0.1055 0.9219
Au -9.2957 0.8608 2.9145
Au -7.7015 3.0345 5.2081
Se -4.9189 -1.6803 5.0114
Se -8.8986 -1.0465 4.3921
Se -7.2728 1.1701 6.7310
Se -9.7243 2.7252 1.3916
Se -8.0986 4.9418 3.7305
Se -12.0782 5.5756 3.1112
```

A plane-wave DFT calculation with GGA-PBE was carried out for crystalline CsTb2AuSe4 at its relaxed geometry. Values from VASP.

Values from the calculation:
Calculated volume = 29.194 A^3/atom
Symmetry = Cmcm
Formation energy without anion corrections = -137.55 kJ per mole of atoms

Cell and atoms, written as Quantum ESPRESSO input:
```
&SYSTEM
  ibrav = 0, nat = 16, ntyp = 4
/
ATOMIC_SPECIES
Cs 132.91 Cs.upf
Tb 158.93 Tb.upf
Au 196.97 Au.upf
Se 78.96 Se.upf
CELL_PARAMETERS angstrom
4.2400 0.0000 0.0000
-2.1200 7.4311 0.0000
0.0000 0.0000 14.8252
ATOMIC_POSITIONS angstrom
Cs 0.0000 1.8042 11.1189
Cs 2.1200 5.6269 3.7063
Tb 0.0000 5.5201 8.4309
Tb 2.1200 1.9109 1.0183
Tb 2.1200 1.9109 6.3943
Tb 0.0000 5.5201 13.8069
Au 2.1200 5.0415 11.1189
Au 0.0000 2.3895 3.7063
Se 0.0000 3.7800 1.4582
Se 2.1200 3.6510 8.8708
Se 2.1200 3.6510 13.3670
Se 0.0000 3.7800 5.9544
Se 0.0000 0.0000 7.4126
Se 0.0000 0.0000 0.0000
Se 0.0000 6.5671 11.1189
Se 2.1200 0.8640 3.7063
```

A plane-wave DFT calculation with GGA-PBE was carried out for crystalline CsTbAuSe2 at its relaxed geometry. Values from VASP.

Values from the calculation:
Density of states at the Fermi level = 0.4921 states/eV/atom
Calculated volume = 33.835 A^3/atom
Symmetry = P2/c
Formation energy without anion corrections = -106.84 kJ per mole of atoms

Cell and atoms, written as Quantum ESPRESSO input:
```
&SYSTEM
  ibrav = 0, nat = 10, ntyp = 4
/
ATOMIC_SPECIES
Cs 132.91 Cs.upf
Tb 158.93 Tb.upf
Au 196.97 Au.upf
Se 78.96 Se.upf
CELL_PARAMETERS angstrom
5.0192 0.0000 0.0000
0.0000 8.3796 0.7824
0.0000 -1.8278 7.8739
ATOMIC_POSITIONS angstrom
Cs 0.6318 2.8189 6.2966
Cs 4.3874 3.7328 2.3597
Tb 2.4849 -0.4570 1.9685
Tb 2.5343 -1.3709 5.9054
Au 0.0000 0.0000 0.0000
Au 0.0000 -0.9139 3.9370
Se 3.1685 4.7046 8.2377
Se 3.1685 0.9332 4.3555
Se 1.8507 5.6185 4.3008
Se 1.8507 1.8472 0.4186
```

A plane-wave DFT calculation with GGA-PBE was carried out for crystalline CsTe2AuSe4 at its relaxed geometry. Values from VASP.

Values from the calculation:
Density of states at the Fermi level = 0.5468 states/eV/atom
Calculated volume = 34.034 A^3/atom
Symmetry = I222
Formation energy without anion corrections = -18.80 kJ per mole of atoms

Cell and atoms, written as Quantum ESPRESSO input:
```
&SYSTEM
  ibrav = 0, nat = 8, ntyp = 4
/
ATOMIC_SPECIES
Cs 132.91 Cs.upf
Te 127.60 Te.upf
Au 196.97 Au.upf
Se 78.96 Se.upf
CELL_PARAMETERS angstrom
7.5139 0.0000 0.0000
3.7569 6.0449 -1.4049
3.7569 -0.7269 6.1633
ATOMIC_POSITIONS angstrom
Cs 0.0000 0.0000 0.0000
Te 7.5139 4.2321 0.6211
Te 7.5139 1.0860 4.1373
Au 3.7569 2.6590 2.3792
Se 9.9128 2.6689 4.6105
Se 5.1149 0.4403 2.6165
Se 2.3990 2.6492 0.1479
Se 12.6287 4.8777 2.1419
```

A plane-wave DFT calculation with GGA-PBE was carried out for crystalline CsTeAuSe3 at its relaxed geometry. Values from VASP.

Values from the calculation:
Density of states at the Fermi level = 0.1696 states/eV/atom
Calculated volume = 33.901 A^3/atom
Symmetry = P2_1/m
Formation energy without anion corrections = -34.19 kJ per mole of atoms

Cell and atoms, written as Quantum ESPRESSO input:
```
&SYSTEM
  ibrav = 0, nat = 12, ntyp = 4
/
ATOMIC_SPECIES
Cs 132.91 Cs.upf
Te 127.60 Te.upf
Au 196.97 Au.upf
Se 78.96 Se.upf
CELL_PARAMETERS angstrom
-1.7364 -1.9389 -3.1815
7.1911 1.7106 -4.9673
2.6054 -10.0324 4.6920
ATOMIC_POSITIONS angstrom
Cs 1.6283 -2.7958 -0.5126
Cs 6.4317 -7.4649 -2.9441
Te 4.7463 -0.3562 -3.7011
Te 3.3137 -9.9044 0.2443
Au 1.6545 -5.9114 1.3719
Au 6.4055 -4.3492 -4.8286
Se 5.2058 -0.6349 -6.4374
Se 2.8542 -9.6257 2.9807
Se 5.9440 -2.8827 -2.8151
Se 2.1160 -7.3780 -0.6416
Se 2.4011 -2.0548 -4.0413
Se 5.6589 -8.2058 0.5846
```

A plane-wave DFT calculation with GGA-PBE was carried out for crystalline Cs2TeAuSe4 at its relaxed geometry. Values from VASP.

Values from the calculation:
Density of states at the Fermi level = 0.2904 states/eV/atom
Calculated volume = 36.175 A^3/atom
Symmetry = Fddd
Formation energy without anion corrections = -40.41 kJ per mole of atoms

Cell and atoms, written as Quantum ESPRESSO input:
```
&SYSTEM
  ibrav = 0, nat = 16, ntyp = 4
/
ATOMIC_SPECIES
Cs 132.91 Cs.upf
Te 127.60 Te.upf
Au 196.97 Au.upf
Se 78.96 Se.upf
CELL_PARAMETERS angstrom
5.5812 0.0000 0.0000
2.7906 8.6205 0.0000
2.7906 0.0000 12.0301
ATOMIC_POSITIONS angstrom
Cs 2.7906 0.0000 7.5631
Cs 5.5812 0.0000 4.4669
Cs 6.9765 4.3103 10.4819
Cs 6.9765 4.3103 1.5481
Te 4.1859 4.3103 6.0150
Te 2.7906 0.0000 0.0000
Au 6.9765 4.3103 6.0150
Au 0.0000 0.0000 0.0000
Se 4.4226 6.8408 1.8797
Se 4.4226 1.7797 10.1503
Se 9.5303 6.8408 10.1503
Se 3.9491 1.7797 1.8797
Se 5.3444 6.0900 4.1353
Se 5.3444 2.5306 7.8948
Se 8.6085 6.0900 7.8948
Se 3.0273 2.5306 4.1353
```

A plane-wave DFT calculation with GGA-PBE was carried out for crystalline CsTeAu2Se4 at its relaxed geometry. Values from VASP.

Values from the calculation:
Density of states at the Fermi level = 0.7321 states/eV/atom
Calculated volume = 35.709 A^3/atom
Symmetry = I222
Formation energy without anion corrections = -22.25 kJ per mole of atoms

Cell and atoms, written as Quantum ESPRESSO input:
```
&SYSTEM
  ibrav = 0, nat = 8, ntyp = 4
/
ATOMIC_SPECIES
Cs 132.91 Cs.upf
Te 127.60 Te.upf
Au 196.97 Au.upf
Se 78.96 Se.upf
CELL_PARAMETERS angstrom
-6.1469 -2.4765 -0.4218
-0.6612 -7.3236 0.3643
-3.4636 -1.3867 6.3471
ATOMIC_POSITIONS angstrom
Cs 0.0000 0.0000 0.0000
Te -5.1359 -5.5934 3.1448
Au -2.4030 -3.3053 2.1544
Au -7.8687 -7.8816 4.1353
Se -4.6308 -2.9843 3.0959
Se -2.9797 -7.1303 3.3764
Se -6.3129 -6.1307 0.8231
Se -6.6200 -6.1283 5.2840
```

A plane-wave DFT calculation with GGA-PBE was carried out for crystalline Cs2ThAuSe4 at its relaxed geometry. Values from VASP.

Values from the calculation:
Density of states at the Fermi level = 0.5622 states/eV/atom
Calculated volume = 38.462 A^3/atom
Symmetry = I-4
Formation energy without anion corrections = -94.22 kJ per mole of atoms

Cell and atoms, written as Quantum ESPRESSO input:
```
&SYSTEM
  ibrav = 0, nat = 8, ntyp = 4
/
ATOMIC_SPECIES
Cs 132.91 Cs.upf
Th 232.04 Th.upf
Au 196.97 Au.upf
Se 78.96 Se.upf
CELL_PARAMETERS angstrom
7.3705 0.2088 0.3199
-2.9516 6.7569 -0.3199
-2.9516 -3.0120 6.0569
ATOMIC_POSITIONS angstrom
Cs 0.7336 4.4191 1.4343
Cs 0.0000 0.0000 0.0000
Th 0.7336 -0.4654 4.6226
Au -2.9516 1.8724 2.8685
Se 2.0735 1.0443 2.6896
Se -1.9878 -0.2661 4.0185
Se 4.4801 3.5695 1.0422
Se -1.6313 3.5597 4.3634
```

A plane-wave DFT calculation with GGA-PBE was carried out for crystalline CsTh2Au2Se6 at its relaxed geometry. Values from VASP.

Values from the calculation:
Density of states at the Fermi level = 0.5419 states/eV/atom
Calculated volume = 34.657 A^3/atom
Symmetry = P-1
Formation energy without anion corrections = -99.93 kJ per mole of atoms

Cell and atoms, written as Quantum ESPRESSO input:
```
&SYSTEM
  ibrav = 0, nat = 11, ntyp = 4
/
ATOMIC_SPECIES
Cs 132.91 Cs.upf
Th 232.04 Th.upf
Au 196.97 Au.upf
Se 78.96 Se.upf
CELL_PARAMETERS angstrom
-0.2192 3.9525 6.7853
-5.7269 -2.0856 4.9786
8.0003 -1.7311 1.9575
ATOMIC_POSITIONS angstrom
Cs 3.8906 1.1107 4.3714
Th 4.5824 1.1342 8.9370
Th -2.5282 -0.9983 4.7843
Au 2.1196 -1.9407 6.9943
Au -0.0654 2.0766 6.7271
Se -4.2747 0.0324 6.9127
Se -1.3901 2.6430 8.9867
Se -0.2527 -2.1496 6.2665
Se 3.4443 -2.5071 4.7347
Se 2.3069 2.2855 7.4549
Se 6.3289 0.1035 6.8087
```

A plane-wave DFT calculation with GGA-PBE was carried out for crystalline Cs2ThAu2Se4 at its relaxed geometry. Values from VASP.

Values from the calculation:
Calculated volume = 34.336 A^3/atom
Symmetry = C2/m
Formation energy without anion corrections = -104.72 kJ per mole of atoms

Cell and atoms, written as Quantum ESPRESSO input:
```
&SYSTEM
  ibrav = 0, nat = 9, ntyp = 4
/
ATOMIC_SPECIES
Cs 132.91 Cs.upf
Th 232.04 Th.upf
Au 196.97 Au.upf
Se 78.96 Se.upf
CELL_PARAMETERS angstrom
-2.9452 -3.0982 -1.2539
5.2880 -5.8682 2.0786
-4.2260 4.1808 7.5101
ATOMIC_POSITIONS angstrom
Cs 1.7057 -2.9564 3.2985
Cs -3.5889 -1.8292 5.0363
Th 0.0000 0.0000 0.0000
Au -2.8240 -1.0501 1.3143
Au 0.9407 -3.7356 7.0204
Se -0.9759 -0.2362 2.8760
Se -0.9074 -4.5494 5.4588
Se -1.7061 -1.7960 8.4453
Se -0.1772 -2.9896 -0.1105
```

A plane-wave DFT calculation with GGA-PBE was carried out for crystalline CsTl2AuSe at its relaxed geometry. Values from VASP.

Values from the calculation:
Density of states at the Fermi level = 0.1933 states/eV/atom
Calculated volume = 35.685 A^3/atom
Symmetry = Cmcm
Formation energy without anion corrections = -38.79 kJ per mole of atoms

Cell and atoms, written as Quantum ESPRESSO input:
```
&SYSTEM
  ibrav = 0, nat = 10, ntyp = 4
/
ATOMIC_SPECIES
Cs 132.91 Cs.upf
Tl 204.38 Tl.upf
Au 196.97 Au.upf
Se 78.96 Se.upf
CELL_PARAMETERS angstrom
4.9163 0.0000 0.0000
-2.4581 7.2994 0.0000
0.0000 0.0000 9.9440
ATOMIC_POSITIONS angstrom
Cs 0.0000 6.4304 7.4580
Cs 2.4581 0.8690 2.4860
Tl 0.0000 2.6958 9.2373
Tl 2.4581 4.6036 0.7068
Tl 0.0000 2.6958 5.6788
Tl 2.4581 4.6036 4.2653
Au 2.4581 3.2096 7.4580
Au 0.0000 4.0898 2.4860
Se 0.0000 0.0000 0.0000
Se 0.0000 0.0000 4.9720
```

A plane-wave DFT calculation with GGA-PBE was carried out for crystalline CsTm2AuSe4 at its relaxed geometry. Values from VASP.

Values from the calculation:
Calculated volume = 28.484 A^3/atom
Symmetry = Cmcm
Formation energy without anion corrections = -133.31 kJ per mole of atoms

Cell and atoms, written as Quantum ESPRESSO input:
```
&SYSTEM
  ibrav = 0, nat = 16, ntyp = 4
/
ATOMIC_SPECIES
Cs 132.91 Cs.upf
Tm 168.93 Tm.upf
Au 196.97 Au.upf
Se 78.96 Se.upf
CELL_PARAMETERS angstrom
4.1713 0.0000 0.0000
-2.0857 7.4333 0.0000
0.0000 0.0000 14.6982
ATOMIC_POSITIONS angstrom
Cs 0.0000 1.8622 11.0237
Cs 2.0857 5.5711 3.6746
Tm 0.0000 5.5705 8.3953
Tm 2.0857 1.8628 1.0461
Tm 2.0857 1.8628 6.3030
Tm 0.0000 5.5705 13.6521
Au 2.0857 5.0201 11.0237
Au 0.0000 2.4132 3.6746
Se 0.0000 3.7065 1.3992
Se 2.0857 3.7268 8.7483
Se 2.0857 3.7268 13.2991
Se 0.0000 3.7065 5.9499
Se 0.0000 0.0000 7.3491
Se 0.0000 0.0000 0.0000
Se 0.0000 6.6135 11.0237
Se 2.0857 0.8198 3.6746
```

| no. | energy (eV per cell) |
| --- | --- |
| 1 | -44.59 |
| 2 | -77.47 |
| 3 | -42.53 |
| 4 | -25.91 |
| 5 | -39.71 |
| 6 | -50.83 |
| 7 | -26.33 |
| 8 | -34.15 |
| 9 | -54.55 |
| 10 | -39.39 |
| 11 | -28.72 |
| 12 | -76.13 |